(1)
First-principles (PBE-GGA) data for Sm6TlSi2S3 after structural relaxation, as listed in Alexandria.

The structure in extended XYZ format:
```
12
Lattice="4.1355 0.0000 0.0000 0.0000 8.4353 0.0215 -2.0678 -2.7221 8.7828" Properties=species:S:1:pos:R:3 pbc="T T T"
Sm 0.0000 6.1125 0.0856
Sm 0.0000 1.7792 5.8274
Sm 2.0678 3.9340 2.9769
Sm 2.0678 -0.3994 8.7187
Sm 0.0000 5.9627 5.7334
Sm 2.0678 -0.2496 3.0709
S 2.0678 -0.3555 5.8481
S 2.0678 4.2177 0.0108
S 0.0000 6.0687 2.9562
Tl 2.0678 0.0000 0.0000
Si 0.0000 1.8346 2.8653
Si 2.0678 3.8785 5.9390
```


(2)
First-principles (PBE-GGA) data for SmTmSiS after structural relaxation, as listed in Alexandria.

The structure in extended XYZ format:
```
4
Lattice="4.0331 0.0000 0.0000 2.0165 3.4928 0.0000 2.0165 1.1643 6.6788" Properties=species:S:1:pos:R:3 pbc="T T T"
Tm 2.0165 1.1643 2.7856
S 4.0331 2.3285 4.3880
Sm 6.0496 3.4928 6.1433
Si 6.0496 3.4928 1.1810
```


(3)
First-principles (PBE-GGA) data for SiSn2S4 after structural relaxation, as listed in Alexandria.

Values from the calculation:
* energy above the lowest structure with this stoichiometry: 0 meV/atom

The structure in extended XYZ format:
```
28
Lattice="8.5105 0.0000 0.0000 0.0000 8.5152 -0.0324 0.0000 5.1701 10.0493" Properties=species:S:1:pos:R:3 pbc="T T T"
S 3.1533 12.6319 9.1638
S 4.5860 4.1859 4.0692
S 2.7075 4.4252 1.0100
S 5.3074 6.1786 6.9735
S 8.1798 6.7710 9.0938
S 5.8030 9.2602 9.0069
S 5.3572 1.0535 0.8531
S 1.5478 7.0103 6.0346
S 7.4583 3.5935 1.9489
S 6.9628 6.6751 3.9823
S 1.0522 10.0918 8.0680
S 3.9245 9.4995 5.9477
S 7.4086 3.6386 5.8777
S 1.1019 10.0468 4.1392
S 3.2031 7.5068 3.0433
S 0.3307 6.9144 0.9231
Sn 2.0715 11.6135 6.0590
Sn 6.3267 4.6570 8.9825
Sn 2.1838 9.0284 1.0344
Sn 1.2670 5.4857 3.0274
Sn 5.5223 5.6146 1.9648
Sn 6.4391 2.0719 3.9579
Sn 2.9882 8.0708 8.0521
Sn 7.2435 8.1997 6.9895
Si 1.8568 11.0743 9.8124
Si 2.3985 8.4892 4.7878
Si 6.1120 5.1962 5.2291
Si 6.6538 2.6111 0.2045
```


Energy relative to the elements, uncorrected / meV per atom: -1271.6; -1344.1; -543.9
Magnetization / μB/cell: 0.0; 0.0; 0.0